{"formula": "RePN", "functional": "PBE-GGA", "state": "relaxed", "dos_at_fermi_per_ev_fu": 1.8, "e_form_raw_ev_per_atom": 0.5692, "lattice": [[3.9789, 0.0000, 0.0000], [1.9895, 3.4458, 0.0000], [1.9895, 1.1486, 9.5293]], "species": ["Re", "Re", "P", "P", "N", "N"], "frac_coords": [[0.7281, 0.7281, 0.8157], [0.2719, 0.2719, 0.1843], [0.3761, 0.3761, 0.8717], [0.6239, 0.6239, 0.1283], [0.2128, 0.2128, 0.3615], [0.7872, 0.7872, 0.6385]]}


{"formula": "RePRu2N", "functional": "PBE-GGA", "state": "relaxed", "dos_at_fermi_per_ev_fu": 5.2, "e_form_raw_ev_per_atom": 0.4984, "lattice": [[4.0069, 0.0000, 0.0000], [0.0000, 4.0628, 0.0000], [0.0000, 0.0000, 4.0069]], "species": ["Ru", "Ru", "P", "Re", "N"], "frac_coords": [[0.0000, 0.0000, 0.5000], [0.5000, 0.0000, 0.0000], [0.5000, 0.5000, 0.5000], [0.0000, 0.5000, 0.0000], [0.0000, 0.0000, 0.0000]]}